No. 1
OsPbS2 | GGA-PBE | optimized geometry

Summary:
Calculated volume = 19.91 A^3/atom
Formation energy from raw total energies = 0.5766 eV per atom

a b c (Å): 3.1025 3.1025 28.6625
angles (deg): 90.00 90.00 120.00
Space group R-3m (No. 166, hexagonal axes)
Inequivalent atoms, fractional coordinates:
Os 0.0000 0.0000 0.0000 (multiplicity 3)
Pb 0.0000 0.0000 0.5000 (multiplicity 3)
S 0.0000 0.0000 0.0769 (multiplicity 6)



No. 2
OsPb3S | GGA-PBE | optimized geometry

Summary:
Calculated volume = 31.19 A^3/atom
Formation energy from raw total energies = 1.2334 eV per atom
Excess energy over the best structure of this formula in the dataset = 953 meV per atom

a b c (Å): 5.383 5.383 5.383
angles (deg): 90.00 90.00 90.00
Space group Pm-3m (No. 221)
Inequivalent atoms, fractional coordinates:
Os 0.000 0.000 0.000 (multiplicity 1)
Pb 0.000 0.500 0.500 (multiplicity 3)
S 0.500 0.500 0.500 (multiplicity 1)



No. 3
OsPb2S | GGA-PBE | optimized geometry

Summary:
Calculated volume = 30.91 A^3/atom
Formation energy from raw total energies = 0.8020 eV per atom

a b c (Å): 6.308 6.308 12.432
angles (deg): 90.00 90.00 90.00
Space group I-42d (No. 122)
Inequivalent atoms, fractional coordinates:
Os 0.000 0.000 0.000 (multiplicity 4)
Pb 0.228 0.250 0.125 (multiplicity 8)
S 0.000 0.000 0.500 (multiplicity 4)



No. 4
OsPbS2 | GGA-PBE | optimized geometry

Summary:
Calculated volume = 21.61 A^3/atom
Formation energy from raw total energies = -0.0297 eV per atom

a b c (Å): 7.234 7.234 6.608
angles (deg): 90.00 90.00 90.00
Space group I-42d (No. 122)
Inequivalent atoms, fractional coordinates:
Os 0.000 0.000 0.000 (multiplicity 4)
Pb 0.000 0.000 0.500 (multiplicity 4)
S 0.148 0.250 0.125 (multiplicity 8)



No. 5
Os3PbS | GGA-PBE | optimized geometry

Summary:
Calculated volume = 25.61 A^3/atom
Formation energy from raw total energies = 3.4130 eV per atom
Excess energy over the best structure of this formula in the dataset = 2192 meV per atom

a b c (Å): 5.040 5.040 5.040
angles (deg): 90.00 90.00 90.00
Space group Pm-3m (No. 221)
Inequivalent atoms, fractional coordinates:
Os 0.000 0.000 0.500 (multiplicity 3)
Pb 0.000 0.000 0.000 (multiplicity 1)
S 0.500 0.500 0.500 (multiplicity 1)



No. 6
SbOs2PbS | GGA-PBE | optimized geometry

Summary:
Calculated volume = 28.74 A^3/atom
Formation energy from raw total energies = 2.0407 eV per atom

a b c (Å): 4.876 4.876 6.044
angles (deg): 90.00 90.00 90.00
Space group P4/mmm (No. 123)
Inequivalent atoms, fractional coordinates:
Sb 0.000 0.000 0.000 (multiplicity 1)
Os 0.000 0.500 0.000 (multiplicity 2)
Pb 0.000 0.000 0.500 (multiplicity 1)
S 0.500 0.500 0.500 (multiplicity 1)